Entry from Alexandria: AgHg2I after structural relaxation (GGA-PBE).

Lattice parameters (Å, degrees): 9.0215 4.3798 7.2396 90.00 109.83 90.00
With the nearest neighbours (Å) after each atom.
Element x y z (fractional)
Ag (0.0000, 0.0000, 0.0000)  3 I 2.92-2.93, 2 Hg 3.00
Ag (0.5000, 0.5000, 0.0000)  3 I 2.92-2.93, 2 Hg 3.00
Hg (0.0358, 0.5000, 0.7341)  2 Ag 3.00, 3 Hg 3.03-3.17
Hg (0.2779, 0.5000, 0.5290)  3 Hg 3.03-3.17, 1 Ag 3.32
Hg (0.5358, 0.0000, 0.7341)  2 Ag 3.00, 3 Hg 3.03-3.17
Hg (0.7779, 0.0000, 0.5290)  3 Hg 3.03-3.17, 1 Ag 3.32
I (0.3449, 0.0000, 0.1299)  3 Ag 2.92-2.93
I (0.8449, 0.5000, 0.1299)  3 Ag 2.92-2.93

Summary:
Formation energy from raw total energies = -0.062 eV/atom
Mass density = 7.849 g cm⁻³
Uncorrected energy = -0.0483 hartree per atom

---

Entry from Alexandria: AgHg2I after structural relaxation (GGA-PBE).

Lattice parameters (Å, degrees): 4.6332 7.6669 8.2830 79.51 89.99 72.43
With the nearest neighbours (Å) after each atom.
Element x y z (fractional)
Ag (0.0000, 0.0000, 0.0000)  3 Hg 2.88-3.13, 3 I 2.89-2.92
Ag (0.4360, 0.1362, 0.4976)  3 I 2.81-2.83, 2 Hg 2.96-3.01
Hg (0.1775, 0.6530, 0.8835)  1 Ag 2.88
Hg (0.2259, 0.5543, 0.4036)  1 Ag 3.01, 4 Hg 3.17-3.23
Hg (0.6284, 0.7476, 0.1703)  2 Ag 3.12-3.13, 4 Hg 3.17-3.49
Hg (0.6410, 0.7257, 0.6024)  1 Ag 2.96, 4 Hg 3.23-3.26
I (0.4078, 0.1849, 0.8255)  3 Ag 2.81-2.92
I (0.9297, 0.1485, 0.2997)  3 Ag 2.83-2.89

Summary:
Formation energy from raw total energies = -0.100 eV/atom
Mass density = 7.671 g cm⁻³
Uncorrected energy = -0.0497 hartree per atom

---

Entry from Alexandria: AgHg2I6 after structural relaxation (GGA-PBE).

Lattice parameters (Å, degrees): 8.6302 8.6302 7.9143 90.00 90.00 120.00
With the nearest neighbours (Å) after each atom.
Element x y z (fractional)
Ag (0.0000, 0.0000, 0.0000)  6 I 2.97
Hg (0.3333, 0.6667, 0.2050)  3 I 2.76
Hg (0.6667, 0.3333, 0.7950)  3 I 2.76
I (0.1498, 0.2997, 0.2469)  1 Hg 2.76, 1 Ag 2.97
I (0.1498, 0.8502, 0.2469)  1 Hg 2.76, 1 Ag 2.97
I (0.2997, 0.1498, 0.7531)  1 Hg 2.76, 1 Ag 2.97
I (0.7003, 0.8502, 0.2469)  1 Hg 2.76, 1 Ag 2.97
I (0.8502, 0.1498, 0.7531)  1 Hg 2.76, 1 Ag 2.97
I (0.8502, 0.7003, 0.7531)  1 Hg 2.76, 1 Ag 2.97

Summary:
Formation energy from raw total energies = -0.105 eV/atom
Mass density = 4.133 g cm⁻³
Uncorrected energy = -0.0560 hartree per atom

---

Entry from Alexandria: AgHg4I2 after structural relaxation (GGA-PBE).

Lattice parameters (Å, degrees): 13.6894 4.3067 8.7789 90.00 112.19 90.00
With the nearest neighbours (Å) after each atom.
Element x y z (fractional)
Ag (0.0000, 0.0000, 0.0000)  2 I 2.66
Ag (0.5000, 0.5000, 0.0000)  2 I 2.66
Hg (0.0409, 0.5000, 0.6779)  3 Hg 2.89-3.03
Hg (0.1926, 0.0000, 0.8716)  4 Hg 3.03-3.08, 1 Ag 3.24
Hg (0.3074, 0.5000, 0.1284)  4 Hg 3.03-3.08, 1 Ag 3.24
Hg (0.4591, 0.0000, 0.3221)  3 Hg 2.89-3.03
Hg (0.5409, 0.0000, 0.6779)  3 Hg 2.89-3.03
Hg (0.6926, 0.5000, 0.8716)  4 Hg 3.03-3.08, 1 Ag 3.24
Hg (0.8074, 0.0000, 0.1284)  4 Hg 3.03-3.08, 1 Ag 3.24
Hg (0.9591, 0.5000, 0.3221)  3 Hg 2.89-3.03
I (0.1496, 0.0000, 0.3003)  1 Ag 2.66
I (0.3504, 0.5000, 0.6997)  1 Ag 2.66
I (0.6496, 0.5000, 0.3003)  1 Ag 2.66
I (0.8504, 0.0000, 0.6997)  1 Ag 2.66

Summary:
Formation energy from raw total energies = -0.076 eV/atom
Mass density = 8.067 g cm⁻³
Uncorrected energy = -0.0404 hartree per atom

---

Entry from Alexandria: AgHg5I2 after structural relaxation (GGA-PBE).

Lattice parameters (Å, degrees): 4.0826 10.5279 13.5056 90.00 90.00 90.00
With the nearest neighbours (Å) after each atom.
Element x y z (fractional)
Ag (0.0000, 0.0000, 0.0000)  4 I 2.84
Ag (0.5000, 0.5000, 0.5000)  4 I 2.84
Hg (0.0000, 0.0000, 0.5000)  2 I 3.29
Hg (0.0000, 0.3562, 0.2221)  3 Hg 3.03-3.12
Hg (0.0000, 0.3562, 0.7779)  3 Hg 3.03-3.12
Hg (0.0000, 0.6438, 0.2221)  3 Hg 3.03-3.12
Hg (0.0000, 0.6438, 0.7779)  3 Hg 3.03-3.12
Hg (0.5000, 0.1438, 0.2779)  3 Hg 3.03-3.12
Hg (0.5000, 0.1438, 0.7221)  3 Hg 3.03-3.12
Hg (0.5000, 0.5000, 0.0000)  2 I 3.29
Hg (0.5000, 0.8562, 0.2779)  3 Hg 3.03-3.12
Hg (0.5000, 0.8562, 0.7221)  3 Hg 3.03-3.12
I (0.0000, 0.3130, 0.5000)  2 Ag 2.84
I (0.0000, 0.6870, 0.5000)  2 Ag 2.84
I (0.5000, 0.1870, 0.0000)  2 Ag 2.84
I (0.5000, 0.8130, 0.0000)  2 Ag 2.84

Summary:
Formation energy from raw total energies = -0.024 eV/atom
Mass density = 7.807 g cm⁻³
Uncorrected energy = -0.0352 hartree per atom

---

Entry from Alexandria: Ag3HgI4 after structural relaxation (GGA-PBE).

Lattice parameters (Å, degrees): 16.3243 16.3243 16.3243 16.65 16.65 16.65
With the nearest neighbours (Å) after each atom.
Element x y z (fractional)
Ag (0.0000, 0.0000, 0.0000)  4 I 2.87-2.88
Ag (0.2545, 0.2545, 0.2545)  4 I 2.84-2.89
Ag (0.7452, 0.7452, 0.7452)  4 I 2.87-2.88
Hg (0.4970, 0.4970, 0.4970)  4 I 3.14-3.19
I (0.1957, 0.1957, 0.1957)  1 Ag 2.84, 3 Hg 3.14
I (0.4309, 0.4309, 0.4309)  3 Ag 2.88, 1 Hg 3.19
I (0.6857, 0.6857, 0.6857)  4 Ag 2.87-2.88
I (0.9406, 0.9406, 0.9406)  4 Ag 2.87-2.89

Summary:
Formation energy from raw total energies = -0.169 eV/atom
Mass density = 5.501 g cm⁻³
Uncorrected energy = -0.0754 hartree per atom

---

Entry from Alexandria: AgHgI4 after structural relaxation (GGA-PBE).

Lattice parameters (Å, degrees): 7.7365 7.7365 9.1031 90.00 90.00 90.00
With the nearest neighbours (Å) after each atom.
Element x y z (fractional)
Ag (0.0000, 0.0000, 0.0000)  4 I 2.79
Ag (0.0000, 0.0000, 0.5000)  4 I 2.79
Hg (0.0000, 0.5000, 0.2500)  4 I 2.87
Hg (0.5000, 0.0000, 0.7500)  4 I 2.87
I (0.2145, 0.2748, 0.4215)  1 Ag 2.79, 1 Hg 2.87
I (0.2145, 0.7252, 0.0785)  1 Ag 2.79, 1 Hg 2.87
I (0.2748, 0.2145, 0.9215)  1 Ag 2.79, 1 Hg 2.87
I (0.2748, 0.7855, 0.5785)  1 Ag 2.79, 1 Hg 2.87
I (0.7252, 0.2145, 0.5785)  1 Ag 2.79, 1 Hg 2.87
I (0.7252, 0.7855, 0.9215)  1 Ag 2.79, 1 Hg 2.87
I (0.7855, 0.2748, 0.0785)  1 Ag 2.79, 1 Hg 2.87
I (0.7855, 0.7252, 0.4215)  1 Ag 2.79, 1 Hg 2.87

Summary:
Formation energy from raw total energies = -0.144 eV/atom
Mass density = 4.974 g cm⁻³
Uncorrected energy = -0.0626 hartree per atom

---

Entry from Alexandria: AgHgI4 after structural relaxation (GGA-PBE).

Lattice parameters (Å, degrees): 11.6132 11.6132 6.7163 104.78 104.78 133.84
With the nearest neighbours (Å) after each atom.
Element x y z (fractional)
Ag (0.0709, 0.9291, 0.7500)  4 I 2.79-3.03
Ag (0.9291, 0.0709, 0.2500)  4 I 2.79-3.03
Hg (0.3641, 0.6359, 0.2500)  2 I 2.73
Hg (0.6359, 0.3641, 0.7500)  2 I 2.73
I (0.0578, 0.4131, 0.2872)  1 Hg 2.73, 1 Ag 3.03
I (0.2000, 0.2848, 0.7841)  1 Ag 2.79, 1 Hg 3.12
I (0.2848, 0.2000, 0.2841)  1 Ag 2.79, 1 Hg 3.12
I (0.4131, 0.0578, 0.7872)  1 Hg 2.73, 1 Ag 3.03
I (0.5869, 0.9422, 0.2128)  1 Hg 2.73, 1 Ag 3.03
I (0.7152, 0.8000, 0.7159)  1 Ag 2.79, 1 Hg 3.12
I (0.8000, 0.7152, 0.2159)  1 Ag 2.79, 1 Hg 3.12
I (0.9422, 0.5869, 0.7128)  1 Hg 2.73, 1 Ag 3.03

Summary:
Formation energy from raw total energies = -0.119 eV/atom
Mass density = 5.464 g cm⁻³
Uncorrected energy = -0.0617 hartree per atom

---

Entry from Alexandria: Ag3Hg5I12 after structural relaxation (GGA-PBE).

Lattice parameters (Å, degrees): 16.4963 16.4963 16.4963 109.47 109.47 109.47
With the nearest neighbours (Å) after each atom.
Element x y z (fractional)
Ag (0.1250, 0.2500, 0.3750)  4 I 3.07
Ag (0.1250, 0.3750, 0.7500)  4 I 3.07
Ag (0.2500, 0.3750, 0.1250)  4 I 3.07
Ag (0.2500, 0.8750, 0.6250)  4 I 3.07
Ag (0.3750, 0.1250, 0.2500)  4 I 3.07
Ag (0.3750, 0.7500, 0.1250)  4 I 3.07
Ag (0.6250, 0.2500, 0.8750)  4 I 3.07
Ag (0.6250, 0.8750, 0.7500)  4 I 3.07
Ag (0.7500, 0.1250, 0.3750)  4 I 3.07
Ag (0.7500, 0.6250, 0.8750)  4 I 3.07
Ag (0.8750, 0.6250, 0.2500)  4 I 3.07
Ag (0.8750, 0.7500, 0.6250)  4 I 3.07
Hg (0.0000, 0.0000, 0.0000)  6 I 3.02
Hg (0.0000, 0.0000, 0.5000)  6 I 3.02
Hg (0.0000, 0.5000, 0.0000)  6 I 3.02
Hg (0.0000, 0.5000, 0.5000)  6 I 3.02
Hg (0.1250, 0.7500, 0.8750)  4 I 2.95
Hg (0.1250, 0.8750, 0.2500)  4 I 2.95
Hg (0.2500, 0.1250, 0.8750)  4 I 2.95
Hg (0.2500, 0.6250, 0.3750)  4 I 2.95
Hg (0.3750, 0.2500, 0.6250)  4 I 2.95
Hg (0.3750, 0.6250, 0.7500)  4 I 2.95
Hg (0.5000, 0.0000, 0.0000)  6 I 3.02
Hg (0.5000, 0.0000, 0.5000)  6 I 3.02
Hg (0.5000, 0.5000, 0.0000)  6 I 3.02
Hg (0.5000, 0.5000, 0.5000)  6 I 3.02
Hg (0.6250, 0.3750, 0.2500)  4 I 2.95
Hg (0.6250, 0.7500, 0.3750)  4 I 2.95
Hg (0.7500, 0.3750, 0.6250)  4 I 2.95
Hg (0.7500, 0.8750, 0.1250)  4 I 2.95
Hg (0.8750, 0.1250, 0.7500)  4 I 2.95
Hg (0.8750, 0.2500, 0.1250)  4 I 2.95
I (0.0218, 0.1825, 0.1525)  2 Hg 2.95-3.02, 1 Ag 3.07
I (0.0218, 0.3393, 0.8693)  2 Hg 2.95-3.02, 1 Ag 3.07
I (0.0300, 0.6825, 0.6607)  2 Hg 2.95-3.02, 1 Ag 3.07
I (0.0300, 0.8475, 0.3693)  2 Hg 2.95-3.02, 1 Ag 3.07
I (0.1307, 0.6525, 0.4700)  2 Hg 2.95-3.02, 1 Ag 3.07
I (0.1307, 0.9782, 0.6607)  2 Hg 2.95-3.02, 1 Ag 3.07
I (0.1525, 0.0218, 0.1825)  2 Hg 2.95-3.02, 1 Ag 3.07
I (0.1525, 0.6307, 0.9700)  2 Hg 2.95-3.02, 1 Ag 3.07
I (0.1607, 0.1825, 0.5300)  2 Hg 2.95-3.02, 1 Ag 3.07
I (0.1607, 0.4782, 0.6307)  2 Hg 2.95-3.02, 1 Ag 3.07
I (0.1825, 0.1525, 0.0218)  2 Hg 2.95-3.02, 1 Ag 3.07
I (0.1825, 0.5300, 0.1607)  2 Hg 2.95-3.02, 1 Ag 3.07
I (0.3175, 0.3393, 0.9700)  2 Hg 2.95-3.02, 1 Ag 3.07
I (0.3175, 0.4782, 0.3475)  2 Hg 2.95-3.02, 1 Ag 3.07
I (0.3393, 0.8693, 0.0218)  2 Hg 2.95-3.02, 1 Ag 3.07
I (0.3393, 0.9700, 0.3175)  2 Hg 2.95-3.02, 1 Ag 3.07
I (0.3475, 0.3175, 0.4782)  2 Hg 2.95-3.02, 1 Ag 3.07
I (0.3475, 0.5300, 0.8693)  2 Hg 2.95-3.02, 1 Ag 3.07
I (0.3693, 0.0300, 0.8475)  2 Hg 2.95-3.02, 1 Ag 3.07
I (0.3693, 0.8393, 0.5218)  2 Hg 2.95-3.02, 1 Ag 3.07
I (0.4700, 0.1307, 0.6525)  2 Hg 2.95-3.02, 1 Ag 3.07
I (0.4700, 0.8393, 0.8175)  2 Hg 2.95-3.02, 1 Ag 3.07
I (0.4782, 0.3475, 0.3175)  2 Hg 2.95-3.02, 1 Ag 3.07
I (0.4782, 0.6307, 0.1607)  2 Hg 2.95-3.02, 1 Ag 3.07
I (0.5218, 0.3693, 0.8393)  2 Hg 2.95-3.02, 1 Ag 3.07
I (0.5218, 0.6525, 0.6825)  2 Hg 2.95-3.02, 1 Ag 3.07
I (0.5300, 0.1607, 0.1825)  2 Hg 2.95-3.02, 1 Ag 3.07
I (0.5300, 0.8693, 0.3475)  2 Hg 2.95-3.02, 1 Ag 3.07
I (0.6307, 0.1607, 0.4782)  2 Hg 2.95-3.02, 1 Ag 3.07
I (0.6307, 0.9700, 0.1525)  2 Hg 2.95-3.02, 1 Ag 3.07
I (0.6525, 0.4700, 0.1307)  2 Hg 2.95-3.02, 1 Ag 3.07
I (0.6525, 0.6825, 0.5218)  2 Hg 2.95-3.02, 1 Ag 3.07
I (0.6607, 0.0300, 0.6825)  2 Hg 2.95-3.02, 1 Ag 3.07
I (0.6607, 0.1307, 0.9782)  2 Hg 2.95-3.02, 1 Ag 3.07
I (0.6825, 0.5218, 0.6525)  2 Hg 2.95-3.02, 1 Ag 3.07
I (0.6825, 0.6607, 0.0300)  2 Hg 2.95-3.02, 1 Ag 3.07
I (0.8175, 0.4700, 0.8393)  2 Hg 2.95-3.02, 1 Ag 3.07
I (0.8175, 0.8475, 0.9782)  2 Hg 2.95-3.02, 1 Ag 3.07
I (0.8393, 0.5218, 0.3693)  2 Hg 2.95-3.02, 1 Ag 3.07
I (0.8393, 0.8175, 0.4700)  2 Hg 2.95-3.02, 1 Ag 3.07
I (0.8475, 0.3693, 0.0300)  2 Hg 2.95-3.02, 1 Ag 3.07
I (0.8475, 0.9782, 0.8175)  2 Hg 2.95-3.02, 1 Ag 3.07
I (0.8693, 0.0218, 0.3393)  2 Hg 2.95-3.02, 1 Ag 3.07
I (0.8693, 0.3475, 0.5300)  2 Hg 2.95-3.02, 1 Ag 3.07
I (0.9700, 0.1525, 0.6307)  2 Hg 2.95-3.02, 1 Ag 3.07
I (0.9700, 0.3175, 0.3393)  2 Hg 2.95-3.02, 1 Ag 3.07
I (0.9782, 0.6607, 0.1307)  2 Hg 2.95-3.02, 1 Ag 3.07
I (0.9782, 0.8175, 0.8475)  2 Hg 2.95-3.02, 1 Ag 3.07

Summary:
Formation energy from raw total energies = -0.108 eV/atom
Mass density = 5.477 g cm⁻³
Uncorrected energy = -0.0566 hartree per atom

---

Entry from Alexandria: Ag2Hg5I2 after structural relaxation (GGA-PBE).

Lattice parameters (Å, degrees): 5.1306 6.8755 8.5816 83.12 89.96 68.23
With the nearest neighbours (Å) after each atom.
Element x y z (fractional)
Ag (0.2226, 0.0540, 0.4056)  5 Hg 2.84-3.06, 1 I 2.98, 2 Ag 3.06-3.07
Ag (0.7774, 0.9460, 0.5944)  5 Hg 2.84-3.06, 1 I 2.98, 2 Ag 3.06-3.07
Hg (0.0000, 0.5000, 0.5000)  2 Ag 3.06
Hg (0.1030, 0.2943, 0.0944)  1 Ag 2.90, 3 Hg 2.90-3.22
Hg (0.3755, 0.7486, 0.6772)  3 Ag 2.84-2.91, 1 I 3.12
Hg (0.6245, 0.2514, 0.3228)  3 Ag 2.84-2.91, 1 I 3.12
Hg (0.8970, 0.7057, 0.9056)  1 Ag 2.90, 3 Hg 2.90-3.22
I (0.3865, 0.7283, 0.1857)  1 Ag 2.98, 1 Hg 3.12
I (0.6135, 0.2717, 0.8143)  1 Ag 2.98, 1 Hg 3.12

Summary:
Formation energy from raw total energies = -0.055 eV/atom
Mass density = 8.771 g cm⁻³
Uncorrected energy = -0.0441 hartree per atom

---

Entry from Alexandria: AgHg2I6 after structural relaxation (GGA-PBE).

Lattice parameters (Å, degrees): 10.8960 10.8960 8.0728 110.97 110.97 76.62
With the nearest neighbours (Å) after each atom.
Element x y z (fractional)
Ag (0.1741, 0.8259, 0.7500)  4 I 2.77-2.83
Ag (0.8259, 0.1741, 0.2500)  4 I 2.77-2.83
Hg (0.1888, 0.3971, 0.6913)  4 I 2.80-2.96
Hg (0.3971, 0.1888, 0.1913)  4 I 2.80-2.96
Hg (0.6029, 0.8112, 0.8087)  4 I 2.80-2.96
Hg (0.8112, 0.6029, 0.3087)  4 I 2.80-2.96
I (0.0123, 0.7506, 0.3760)  1 Hg 2.80, 1 Ag 2.83
I (0.0827, 0.6670, 0.8714)  1 Ag 2.77, 1 Hg 2.94
I (0.2494, 0.9877, 0.1240)  1 Hg 2.80, 1 Ag 2.83
I (0.3252, 0.4282, 0.4761)  2 Hg 2.80-2.96
I (0.3330, 0.9173, 0.6286)  1 Ag 2.77, 1 Hg 2.94
I (0.4282, 0.3252, 0.9761)  2 Hg 2.80-2.96
I (0.5718, 0.6748, 0.0239)  2 Hg 2.80-2.96
I (0.6670, 0.0827, 0.3714)  1 Ag 2.77, 1 Hg 2.94
I (0.6748, 0.5718, 0.5239)  2 Hg 2.80-2.96
I (0.7506, 0.0123, 0.8760)  1 Hg 2.80, 1 Ag 2.83
I (0.9173, 0.3330, 0.1286)  1 Ag 2.77, 1 Hg 2.94
I (0.9877, 0.2494, 0.6240)  1 Hg 2.80, 1 Ag 2.83

Summary:
Formation energy from raw total energies = -0.182 eV/atom
Mass density = 5.085 g cm⁻³
Uncorrected energy = -0.0588 hartree per atom

---

Entry from Alexandria: Ag2Hg3I8 after structural relaxation (GGA-PBE).

Lattice parameters (Å, degrees): 8.9881 8.9881 19.5116 94.38 94.38 53.23
With the nearest neighbours (Å) after each atom.
Element x y z (fractional)
Ag (0.0815, 0.4055, 0.3263)  4 I 2.80-2.92
Ag (0.4055, 0.0815, 0.8263)  4 I 2.80-2.92
Ag (0.5945, 0.9185, 0.1737)  4 I 2.80-2.92
Ag (0.9185, 0.5945, 0.6737)  4 I 2.80-2.92
Hg (0.0783, 0.3383, 0.0739)  4 I 2.77-2.95
Hg (0.1870, 0.8130, 0.7500)  2 I 2.66
Hg (0.3383, 0.0783, 0.5739)  4 I 2.77-2.95
Hg (0.6617, 0.9217, 0.4261)  4 I 2.77-2.95
Hg (0.8130, 0.1870, 0.2500)  2 I 2.66
Hg (0.9217, 0.6617, 0.9261)  4 I 2.77-2.95
I (0.0438, 0.6890, 0.4127)  1 Hg 2.77, 1 Ag 2.80
I (0.0944, 0.7508, 0.6243)  1 Hg 2.66, 1 Ag 2.92
I (0.1368, 0.4703, 0.8018)  2 Ag 2.87-2.90, 1 Hg 2.95
I (0.2131, 0.5355, 0.0339)  2 Hg 2.85-2.92
I (0.2492, 0.9056, 0.8757)  1 Hg 2.66, 1 Ag 2.92
I (0.3110, 0.9562, 0.0873)  1 Hg 2.77, 1 Ag 2.80
I (0.4645, 0.7869, 0.4661)  2 Hg 2.85-2.92
I (0.4703, 0.1368, 0.3018)  2 Ag 2.87-2.90, 1 Hg 2.95
I (0.5297, 0.8632, 0.6982)  2 Ag 2.87-2.90, 1 Hg 2.95
I (0.5355, 0.2131, 0.5339)  2 Hg 2.85-2.92
I (0.6890, 0.0438, 0.9127)  1 Hg 2.77, 1 Ag 2.80
I (0.7508, 0.0944, 0.1243)  1 Hg 2.66, 1 Ag 2.92
I (0.7869, 0.4645, 0.9661)  2 Hg 2.85-2.92
I (0.8632, 0.5297, 0.1982)  2 Ag 2.87-2.90, 1 Hg 2.95
I (0.9056, 0.2492, 0.3757)  1 Hg 2.66, 1 Ag 2.92
I (0.9562, 0.3110, 0.5873)  1 Hg 2.77, 1 Ag 2.80

Summary:
Formation energy from raw total energies = -0.261 eV/atom
Mass density = 4.838 g cm⁻³
Uncorrected energy = -0.0633 hartree per atom

---

Q: uncorrected energy of number 1 (AgHg2I)?
A: -0.0483 hartree per atom

---

Q: Look up the uncorrected energy of the eleventh one.
A: -0.0588 hartree per atom

---

Q: The lowest mass density belongs to which entry?
A: number 3